Zn2RuSe: relaxed, PBE.

Results
* energy relative to the elements, uncorrected: 0.10 eV per atom
* magnetic moment: 0.00 μB/f.u.
* DOS(E_F): 2.63 states/eV/f.u.

The structure in extended XYZ format:
```
4
Lattice="3.1194 0.0000 0.0000 0.0000 3.7273 0.0000 0.0000 0.0000 5.3999" Properties=species:S:1:pos:R:3 pbc="T T T"
Zn 0.0000 0.0000 0.0000
Zn 1.5597 1.8637 1.1857
Ru 0.0000 0.0000 2.6612
Se 1.5597 1.8637 3.7176
```